1.
# YZrIr, optimized geometry, DFT GGA-PBEsol
data_YZrIr
_symmetry_space_group_name_H-M 'C 1 2/m 1'
_symmetry_Int_Tables_number 12
_symmetry_space_group_name_Hall '-C 2y'
_cell_length_a 11.168
_cell_length_b 3.861
_cell_length_c 7.483
_cell_angle_alpha 90.00
_cell_angle_beta 124.96
_cell_angle_gamma 90.00
loop_
_atom_site_label
_atom_site_type_symbol
_atom_site_fract_x
_atom_site_fract_y
_atom_site_fract_z
Y1 Y 0.081 0.000 0.353
Zr1 Zr 0.173 0.500 0.076
Ir1 Ir 0.145 0.500 0.692
# formation energy from the elements: -0.658 eV per atom
# volume: 264 Å³ per cell


2.
# YHgW2, optimized geometry, DFT GGA-PBEsol
data_YHgW2
_symmetry_space_group_name_H-M 'P m m m'
_symmetry_Int_Tables_number 47
_symmetry_space_group_name_Hall '-P 2 2'
_cell_length_a 3.470
_cell_length_b 4.511
_cell_length_c 4.783
_cell_angle_alpha 90.00
_cell_angle_beta 90.00
_cell_angle_gamma 90.00
loop_
_atom_site_label
_atom_site_type_symbol
_atom_site_fract_x
_atom_site_fract_y
_atom_site_fract_z
Y1 Y 0.000 0.000 0.000
Hg1 Hg 0.500 0.500 0.000
W1 W 0.000 0.500 0.500
W2 W 0.500 0.000 0.500
# formation energy from the elements: 0.519 eV per atom
# volume: 75 Å³ per cell


3.
# SmBeCu4, optimized geometry, DFT GGA-PBEsol
data_SmBeCu4
_symmetry_space_group_name_H-M 'P -6 m 2'
_symmetry_Int_Tables_number 187
_symmetry_space_group_name_Hall 'P -6 2'
_cell_length_a 5.0529
_cell_length_b 5.0529
_cell_length_c 3.7999
_cell_angle_alpha 90.00
_cell_angle_beta 90.00
_cell_angle_gamma 120.00
loop_
_atom_site_label
_atom_site_type_symbol
_atom_site_fract_x
_atom_site_fract_y
_atom_site_fract_z
Sm1 Sm 0.0000 0.0000 0.0000
Be1 Be 0.6667 0.3333 0.0000
Cu1 Cu 0.3333 0.6667 0.0000
Cu2 Cu 0.5045 0.0091 0.5000
# formation energy from the elements: -0.136 eV per atom
# volume: 84 Å³ per cell